Record 1
The following is a DFT calculation (PBE-GGA) of SmHfPd after structural relaxation.

Results
The excess energy over the best structure of this formula in the dataset comes out at 0.0 meV/atom. As for the mass density: 9.51 Mg/m³. For the electronic total energy, the calculation gives -6.721 eV/atom. The calculation puts the formation energy at -0.108 eV/atom.

Cell lengths 4.7551, 4.7551, 4.7551 Å; angles 60.00, 60.00, 60.00 degrees
With the nearest neighbours (Å) after each atom.
Atoms (fractional coordinates):
Pd 0.0000 0.0000 0.0000  4 Hf 2.91, 4 Sm 2.91
Sm 0.7500 0.7500 0.7500  4 Pd 2.91
Hf 0.2500 0.2500 0.2500  4 Pd 2.91



Record 2
The following is a DFT calculation (PBE-GGA) of GdYIr2 after structural relaxation.

Results
As for the mass density: 11.86 Mg/m³. For the electronic total energy, the calculation gives -7.926 eV/atom. The calculation puts the formation energy at -0.718 eV/atom.

Cell lengths 4.2669, 5.6262, 7.3560 Å; angles 90.00, 90.00, 90.00 degrees
With the nearest neighbours (Å) after each atom.
Atoms (fractional coordinates):
Ir 0.0000 0.1187 0.0377  2 Ir 2.65, 1 Gd 2.92
Ir 0.5000 0.3795 0.9624  2 Ir 2.65, 1 Y 2.93
Ir 0.0000 0.8813 0.5377  2 Ir 2.65, 1 Gd 2.92
Ir 0.5000 0.6205 0.4624  2 Ir 2.65, 1 Y 2.93
Gd 0.0000 0.6325 0.1762  7 Ir 2.92-3.06
Gd 0.0000 0.3675 0.6762  7 Ir 2.92-3.06
Y 0.5000 0.8675 0.8237  7 Ir 2.93-3.06
Y 0.5000 0.1325 0.3237  7 Ir 2.93-3.06



Record 3
The following is a DFT calculation (PBE-GGA) of RbReNO after structural relaxation.

Results
The excess energy over the best structure of this formula in the dataset comes out at 865.1 meV/atom. As for the mass density: 6.66 Mg/m³. For the electronic total energy, the calculation gives -6.345 eV/atom.

Cell lengths 3.7257, 3.7257, 10.8328 Å; angles 90.00, 90.00, 90.00 degrees
With the nearest neighbours (Å) after each atom.
Atoms (fractional coordinates):
Rb 0.7500 0.7500 0.8228  4 O 2.67
Rb 0.2500 0.2500 0.1772  4 O 2.67
N 0.7500 0.7500 0.4159  4 Re 2.07
N 0.2500 0.2500 0.5841  4 Re 2.07
O 0.2500 0.7500 0.0000  4 O 2.63, 4 Rb 2.67
O 0.7500 0.2500 0.0000  4 O 2.63, 4 Rb 2.67
Re 0.7500 0.2500 0.5000  4 N 2.07
Re 0.2500 0.7500 0.5000  4 N 2.07



Record 4
The following is a DFT calculation (PBE-GGA) of LaUNb after structural relaxation.

Results
The excess energy over the best structure of this formula in the dataset comes out at 0.0 meV/atom. As for the mass density: 9.47 Mg/m³. For the electronic total energy, the calculation gives -7.776 eV/atom. The calculation puts the formation energy at 0.995 eV/atom.

Cell lengths 4.8836, 4.8836, 4.8836 Å; angles 60.00, 60.00, 60.00 degrees
With the nearest neighbours (Å) after each atom.
Atoms (fractional coordinates):
U 0.0000 0.0000 0.0000  4 Nb 2.99
La 0.5000 0.5000 0.5000  4 Nb 2.99
Nb 0.2500 0.2500 0.2500  4 La 2.99, 4 U 2.99